[1]
Density functional theory data (GGA-PBEsol) for a relaxed YP5O14 crystal.

Structure (POSCAR):
```
YP5O14
1.0
9.1109 0.0030 -0.0013
0.0781 9.1105 -0.0013
0.2346 0.2327 12.4593
P O Y
20 56 4
Direct
0.5708 0.0763 0.2597
0.6823 0.9523 0.8903
0.4788 0.8178 0.3953
0.9523 0.6823 0.3903
0.3864 0.3225 0.0004
0.1822 0.5212 0.1047
0.8178 0.4788 0.8953
0.5212 0.1822 0.6047
0.8271 0.1264 0.5337
0.4292 0.9237 0.7403
0.9237 0.4292 0.2403
0.3177 0.0477 0.1097
0.6775 0.6136 0.4996
0.3225 0.3864 0.5004
0.1264 0.8271 0.0337
0.8736 0.1729 0.9663
0.1729 0.8736 0.4663
0.0763 0.5708 0.7597
0.0477 0.3177 0.6097
0.6136 0.6775 0.9996
0.7207 0.0235 0.2321
0.6560 0.1747 0.5238
0.9645 0.1535 0.8669
0.5746 0.6476 0.1132
0.0355 0.8465 0.1331
0.2316 0.5388 0.7844
0.3440 0.8253 0.4762
0.5045 0.9830 0.3627
0.8003 0.8950 0.8201
0.9830 0.5045 0.8627
0.6415 0.5137 0.4108
0.4254 0.3524 0.8868
0.0182 0.4695 0.6634
0.4612 0.7684 0.7156
0.4955 0.0170 0.6373
0.5137 0.6415 0.9108
0.1747 0.6560 0.0238
0.0235 0.7207 0.7321
0.4863 0.3585 0.0892
0.9818 0.5305 0.3366
0.8511 0.6504 0.4923
0.2223 0.3911 0.0274
0.6089 0.7777 0.4726
0.9228 0.1253 0.0738
0.7777 0.6089 0.9726
0.8747 0.0772 0.4262
0.8253 0.3440 0.9762
0.0772 0.8747 0.9262
0.3585 0.4863 0.5892
0.7184 0.4613 0.8049
0.1535 0.9645 0.3669
0.4613 0.7184 0.3049
0.6476 0.5746 0.6132
0.2816 0.5387 0.1951
0.4695 0.0182 0.1634
0.1253 0.9228 0.5738
0.1489 0.3496 0.5077
0.8956 0.2896 0.5559
0.3496 0.1489 0.0077
0.1044 0.7104 0.4441
0.1050 0.1997 0.6799
0.5388 0.2316 0.2844
0.5387 0.2816 0.6951
0.3524 0.4254 0.3868
0.8950 0.8003 0.3201
0.2793 0.9765 0.7679
0.0170 0.4955 0.1373
0.1997 0.1050 0.1799
0.2896 0.8956 0.0559
0.6504 0.8511 0.9923
0.8465 0.0355 0.6331
0.7684 0.4612 0.2156
0.9765 0.2793 0.2679
0.7104 0.1044 0.9441
0.3911 0.2223 0.5274
0.5305 0.9818 0.8366
0.5198 0.4802 0.2500
0.4802 0.5198 0.7500
0.9673 0.0327 0.2500
0.0327 0.9673 0.7500
```

Its crystal system is monoclinic. Its space group is No. 15. The formation energy without anion corrections is -2.3666 eV/atom.

---

[2]
Density functional theory data (GGA-PBEsol) for a relaxed YBiH2 crystal.

Structure (POSCAR):
```
YBiH2
1.0
-4.2698 0.6082 -0.9598
-3.0508 -2.7196 1.6788
-2.7794 1.4506 3.1134
H Y Bi
2 1 1
Direct
0.2500 0.2500 0.2500
0.7500 0.7500 0.7500
0.0000 0.0000 0.0000
0.5000 0.5000 0.5000
```

The final energy is -4.444 eV per atom. Its crystal system is cubic. Its space group is No. 225.

---

[3]
Density functional theory data (GGA-PBEsol) for a relaxed SrZrRh2 crystal.

Structure (POSCAR):
```
SrZrRh2
1.0
3.1225 0.0000 0.0000
0.0000 4.7683 0.0000
-1.5612 -2.3842 5.2712
Rh Sr Zr
2 1 1
Direct
0.7171 0.2171 0.4342
0.9962 0.9962 0.9924
0.4975 0.4975 0.9949
0.2893 0.7893 0.5785
```

The final energy is -6.879 eV per atom. Its crystal system is orthorhombic. Its space group is No. 44.